{"formula": "Cs4Sm3ThSe8", "functional": "GGA-PBE", "state": "optimized geometry", "total_energy_ev_per_cell": -79.79, "formation_energy_uncorrected_ev_per_atom": -1.68, "lattice": [[4.3400, 2.5057, 8.4241], [-4.3400, 2.5057, 8.4241], [0.0000, -5.0114, 8.4241]], "species": ["Cs", "Cs", "Cs", "Cs", "Sm", "Sm", "Sm", "Th", "Se", "Se", "Se", "Se", "Se", "Se", "Se", "Se"], "fractional_positions": [[0.0000, 0.0000, 0.0000], [0.0000, 0.5000, 0.5000], [0.5000, 0.0000, 0.5000], [0.5000, 0.5000, 0.0000], [0.0000, 0.0000, 0.5000], [0.0000, 0.5000, 0.0000], [0.5000, 0.0000, 0.0000], [0.5000, 0.5000, 0.5000], [0.2298, 0.2298, 0.2298], [0.2330, 0.7287, 0.7287], [0.2713, 0.2713, 0.7670], [0.2713, 0.7670, 0.2713], [0.7287, 0.2330, 0.7287], [0.7287, 0.7287, 0.2330], [0.7670, 0.2713, 0.2713], [0.7702, 0.7702, 0.7702]]}